1.
! SbAs2 | the Alexandria database | PBE | relaxed; values from VASP
! space group = Fd-3m (227)
&SYSTEM
  ibrav = 0, nat = 6, ntyp = 2
/
ATOMIC_SPECIES
Sb 121.76 Sb.upf
As 74.92 As.upf
ATOMIC_POSITIONS angstrom
Sb 0.998 -9.823 3.651
As 0.714 -3.226 2.929
As 1.623 -4.091 0.353
Sb 0.665 -6.548 2.434
As -1.172 -4.143 0.977
As 0.166 -1.637 0.608
CELL_PARAMETERS angstrom
2.914 -4.907 -0.510
1.095 -3.178 4.641
-2.678 -5.012 0.737

2.
! SbAs3 | the Alexandria database | PBE | relaxed; values from VASP
! space group = R-3m (166)
&SYSTEM
  ibrav = 0, nat = 4, ntyp = 2
/
ATOMIC_SPECIES
As 74.92 As.upf
Sb 121.76 Sb.upf
ATOMIC_POSITIONS angstrom
As 1.572 -2.085 1.461
As 1.572 2.546 -0.035
As 0.000 0.000 0.000
Sb -2.569 0.472 1.461
CELL_PARAMETERS angstrom
5.714 -0.011 -0.035
-2.569 5.104 -0.035
-2.569 -4.159 2.958

3.
! Sb4As5 | the Alexandria database | PBE | relaxed; values from VASP
! space group = I4/mmm (139)
&SYSTEM
  ibrav = 0, nat = 9, ntyp = 2
/
ATOMIC_SPECIES
Sb 121.76 Sb.upf
As 74.92 As.upf
ATOMIC_POSITIONS angstrom
Sb -1.251 -2.218 1.334
As -3.143 -1.569 -0.802
As 0.000 0.000 0.000
Sb -3.863 -6.850 4.121
As -2.677 -4.173 -1.538
Sb -2.613 -3.244 -7.841
As -1.223 1.835 -2.850
As -1.844 0.043 3.095
Sb -0.846 -1.050 -2.539
CELL_PARAMETERS angstrom
-2.361 -1.449 8.041
-0.706 3.326 -7.795
-2.753 -7.620 -2.585

What did we get for formation energy from raw total energies? Answer: 48, 39, 28 kJ per mole of atoms, in the order shown.
What did we get for E_tot? Answer: -3.979, -4.117, -4.120 eV per atom, in the order shown.